1.
Computed, not measured: TeAsIr2 after structural relaxation at the PBE level of DFT.

Output
The value obtained for the spin magnetization is 0.000 μB per atom. As for the total energy: -6.2520 eV/atom. Its volume is 23.1 Å³ per atom. As for the distance to the lowest polymorph of the same formula: 1.03 eV per formula unit. The uncorrected formation energy is 0.51 eV/f.u.

Lattice parameters (Å, degrees): 7.2335 7.2335 7.2335 31.63 31.63 31.63
Closest atoms and distances in Å follow each position.
Sites, in units of the cell vectors:
As (0.7060, 0.7060, 0.7060)  3 Ir 2.38
Ir (0.0051, 0.0051, 0.0051)  3 As 2.38
Ir (0.2547, 0.2547, 0.2547)  3 Te 2.53
Te (0.5341, 0.5341, 0.5341)  3 Ir 2.53

2.
Computed, not measured: NaSrS3 after structural relaxation at the PBE level of DFT.

Output
The value obtained for the spin magnetization is 0.498 μB per atom. As for the total energy: -3.4236 eV/atom. Its volume is 25.3 Å³ per atom. As for the distance to the lowest polymorph of the same formula: 0.00 eV per formula unit. The uncorrected formation energy is -1.73 eV/f.u.

Lattice parameters (Å, degrees): 5.0212 5.0212 5.0212 90.00 90.00 90.00
Closest atoms and distances in Å follow each position.
Sites, in units of the cell vectors:
Na (0.0000, 0.0000, 0.0000)  6 S 2.51
Sr (0.5000, 0.5000, 0.5000)  12 S 3.55
S (0.0000, 0.5000, 0.0000)  2 Na 2.51
S (0.0000, 0.0000, 0.5000)  2 Na 2.51
S (0.5000, 0.0000, 0.0000)  2 Na 2.51

3.
Computed, not measured: LaPr4Nd6 after structural relaxation at the PBE level of DFT.

Output
The value obtained for the spin magnetization is 0.000 μB per atom. The energy of formation from the pure elements comes out at 0.145 eV/atom. As for the total energy: -4.6414 eV/atom. Its volume is 36.7 Å³ per atom.

Lattice parameters (Å, degrees): 3.6789 11.2576 11.2576 120.00 90.00 90.00
Closest atoms and distances in Å follow each position.
Sites, in units of the cell vectors:
La (0.0000, 0.0000, 0.0000)  6 Pr 3.63, 2 La 3.68, 6 Nd 4.05
Pr (0.5000, 0.8394, 0.6788)  6 Nd 3.40-3.59, 2 La 3.63, 2 Pr 3.68
Pr (0.5000, 0.3212, 0.1606)  6 Nd 3.40-3.59, 2 La 3.63, 2 Pr 3.68
Pr (0.5000, 0.8394, 0.1606)  6 Nd 3.40-3.59, 2 La 3.63, 2 Pr 3.68
Pr (0.0000, 0.3333, 0.6667)  9 Nd 3.43-3.81, 2 Pr 3.68
Nd (0.0000, 0.5287, 0.0573)  5 Pr 3.59-3.81, 6 Nd 3.68-3.90
Nd (0.5000, 0.6299, 0.8149)  4 Pr 3.40-3.43, 2 Nd 3.68
Nd (0.0000, 0.5287, 0.4713)  5 Pr 3.59-3.81, 6 Nd 3.68-3.90
Nd (0.0000, 0.9427, 0.4713)  5 Pr 3.59-3.81, 6 Nd 3.68-3.90
Nd (0.5000, 0.1851, 0.8149)  4 Pr 3.40-3.43, 2 Nd 3.68
Nd (0.5000, 0.1851, 0.3701)  4 Pr 3.40-3.43, 2 Nd 3.68

4.
Computed, not measured: Eu2YH4 after structural relaxation at the PBE level of DFT.

Output
The value obtained for the spin magnetization is 2.183 μB per atom. As for the total energy: -6.1119 eV/atom. Its volume is 16.6 Å³ per atom.

Lattice parameters (Å, degrees): 4.1675 4.1675 7.2967 73.41 73.41 90.00
Closest atoms and distances in Å follow each position.
Sites, in units of the cell vectors:
Eu (0.3434, 0.3434, 0.3133)  1 H 2.37
Eu (0.6566, 0.6566, 0.6867)  1 H 2.37
Y (0.0000, 0.0000, 0.0000)  6 H 2.08-2.21
H (0.1658, 0.1658, 0.6684)  1 Y 2.21, 1 Eu 2.37
H (0.8342, 0.8342, 0.3316)  1 Y 2.21, 1 Eu 2.37
H (0.0000, 0.5000, 0.0000)  2 Y 2.08
H (0.5000, 0.0000, 0.0000)  2 Y 2.08

5.
Computed, not measured: LaNdY2Tm5 after structural relaxation at the PBE level of DFT.

Output
The value obtained for the spin magnetization is 0.000 μB per atom. The energy of formation from the pure elements comes out at 0.282 eV/atom. As for the total energy: -4.7157 eV/atom. Its volume is 32.4 Å³ per atom.

Lattice parameters (Å, degrees): 8.7775 8.7775 9.7819 116.66 116.66 90.00
Closest atoms and distances in Å follow each position.
Sites, in units of the cell vectors:
La (0.2500, 0.2500, 0.5000)  10 Tm 3.61-3.78
La (0.7500, 0.7500, 0.5000)  10 Tm 3.61-3.78
Nd (0.2500, 0.7500, 0.5000)  4 Tm 3.09
Nd (0.7500, 0.2500, 0.5000)  4 Tm 3.09
Y (0.1163, 0.3837, 0.0000)  1 Y 2.89, 2 Tm 3.00
Y (0.6163, 0.1163, 0.0000)  1 Y 2.89, 2 Tm 3.00
Y (0.3837, 0.8837, 0.0000)  1 Y 2.89, 2 Tm 3.00
Y (0.8837, 0.6163, 0.0000)  1 Y 2.89, 2 Tm 3.00
Tm (0.9286, 0.4286, 0.2671)  1 Y 3.00, 1 Nd 3.09
Tm (0.6615, 0.1615, 0.7329)  1 Y 3.00, 1 Nd 3.09
Tm (0.0714, 0.5714, 0.7329)  1 Y 3.00, 1 Nd 3.09
Tm (0.1615, 0.0714, 0.7329)  1 Y 3.00, 1 Nd 3.09
Tm (0.5714, 0.6615, 0.7329)  1 Y 3.00, 1 Nd 3.09
Tm (0.8385, 0.9286, 0.2671)  1 Y 3.00, 1 Nd 3.09
Tm (0.4286, 0.3385, 0.2671)  1 Y 3.00, 1 Nd 3.09
Tm (0.3385, 0.8385, 0.2671)  1 Y 3.00, 1 Nd 3.09
Tm (0.5000, 0.5000, 0.0000)  4 Y 3.52, 8 Tm 3.74, 2 La 3.78
Tm (0.0000, 0.0000, 0.0000)  4 Y 3.52, 8 Tm 3.74, 2 La 3.78

6.
Computed, not measured: SmRe2N7 after structural relaxation at the PBE level of DFT.

Output
The value obtained for the spin magnetization is 0.000 μB per atom. As for the total energy: -8.2831 eV/atom. Its volume is 11.8 Å³ per atom. The uncorrected formation energy is 5.06 eV/f.u.

Lattice parameters (Å, degrees): 3.7204 5.9045 5.9045 114.76 90.00 90.00
Closest atoms and distances in Å follow each position.
Sites, in units of the cell vectors:
Sm (0.0000, 0.0000, 0.0000)  10 N 2.59-2.61
Re (0.5000, 0.6945, 0.3055)  5 N 1.91-1.97
Re (0.5000, 0.3055, 0.6945)  5 N 1.91-1.97
N (0.0000, 0.7395, 0.2605)  2 Re 1.91
N (0.0000, 0.2605, 0.7395)  2 Re 1.91
N (0.5000, 0.0828, 0.3357)  1 Re 1.97
N (0.5000, 0.9172, 0.6643)  1 Re 1.97
N (0.5000, 0.3357, 0.0828)  1 Re 1.97
N (0.5000, 0.6643, 0.9172)  1 Re 1.97
N (0.5000, 0.5000, 0.5000)  2 Re 1.93

7.
Computed, not measured: ScReB after structural relaxation at the PBE level of DFT.

Output
The value obtained for the spin magnetization is 0.000 μB per atom. The energy of formation from the pure elements comes out at -0.359 eV/atom. As for the total energy: -8.8447 eV/atom. Its volume is 12.8 Å³ per atom.

Lattice parameters (Å, degrees): 4.8269 4.8072 8.0402 81.33 72.53 59.86
Closest atoms and distances in Å follow each position.
Sites, in units of the cell vectors:
Sc (0.1656, 0.5000, 0.6688)  4 B 2.49, 3 Sc 2.59-2.71
Sc (0.3344, 0.5000, 0.3312)  4 B 2.49, 3 Sc 2.59-2.71
Sc (0.5844, 0.0000, 0.8312)  4 B 2.49, 3 Sc 2.59-2.71
Sc (0.4156, 0.0000, 0.1688)  4 B 2.49, 3 Sc 2.59-2.71
B (0.6266, 0.5000, 0.7468)  4 Re 2.36-2.38, 2 B 2.40, 4 Sc 2.49
B (0.8734, 0.5000, 0.2532)  4 Re 2.36-2.38, 2 B 2.40, 4 Sc 2.49
B (0.1234, 0.0000, 0.7532)  4 Re 2.36-2.38, 2 B 2.40, 4 Sc 2.49
B (0.8766, 0.0000, 0.2468)  4 Re 2.36-2.38, 2 B 2.40, 4 Sc 2.49
Re (0.9201, 0.1597, 0.5000)  4 B 2.36-2.38
Re (0.5799, 0.8403, 0.5000)  4 B 2.36-2.38
Re (0.8299, 0.3403, 0.0000)  4 B 2.36-2.38
Re (0.1701, 0.6597, 0.0000)  4 B 2.36-2.38

8.
Computed, not measured: TePt after structural relaxation at the PBE level of DFT.

Output
The value obtained for the spin magnetization is 0.000 μB per atom. As for the total energy: -4.5630 eV/atom. Its volume is 26.5 Å³ per atom. The uncorrected formation energy is 0.06 eV/f.u.

Lattice parameters (Å, degrees): 5.0224 5.0224 4.2014 90.00 90.00 90.00
Closest atoms and distances in Å follow each position.
Sites, in units of the cell vectors:
Pt (0.2500, 0.2500, 0.2111)  4 Te 2.66
Pt (0.7500, 0.7500, 0.7889)  4 Te 2.66
Te (0.2500, 0.7500, 0.0000)  4 Pt 2.66
Te (0.7500, 0.2500, 0.0000)  4 Pt 2.66